(1)
The following is a DFT calculation (GGA-PBE) of crystalline Y5In2Rh at its relaxed geometry.

abc: 4.8274 7.2637 12.4366
angles: 90.00 90.00 90.00
Closest atoms and distances in Å follow each position.
Fractional coordinates of all 16 atoms:
Y 0.5000 0.8210 0.9184  2 Rh 2.92, 2 In 3.19-3.24
In 0.5000 0.0953 0.3377  9 Y 3.19-3.45
Y 0.0000 0.8727 0.2101  1 Rh 2.77
Y 0.0000 0.1273 0.7899  1 Rh 2.77
Y 0.0000 0.0000 0.5000  4 In 3.22, 4 Y 3.51
In 0.5000 0.5953 0.1623  9 Y 3.19-3.45
Rh 0.0000 0.0000 0.0000  6 Y 2.77-2.92
Y 0.0000 0.6273 0.7101  1 Rh 2.77
Y 0.5000 0.1790 0.0816  2 Rh 2.92, 2 In 3.19-3.24
Y 0.5000 0.3210 0.5816  2 Rh 2.92, 2 In 3.19-3.24
Y 0.5000 0.6790 0.4184  2 Rh 2.92, 2 In 3.19-3.24
Y 0.0000 0.3727 0.2899  1 Rh 2.77
Y 0.0000 0.5000 0.0000  4 In 3.22, 4 Y 3.51
In 0.5000 0.9047 0.6623  9 Y 3.19-3.45
Rh 0.0000 0.5000 0.5000  6 Y 2.77-2.92
In 0.5000 0.4047 0.8377  9 Y 3.19-3.45

Values from the calculation:
The value obtained for the total magnetization is 0.000 μB per cell.

---

(2)
The following is a DFT calculation (GGA-PBE) of crystalline Y2InRh at its relaxed geometry.

abc: 6.3951 6.3951 4.9704
angles: 67.20 67.20 31.25
Closest atoms and distances in Å follow each position.
Fractional coordinates of all 4 atoms:
Y 0.9550 0.9550 0.0450  2 Rh 2.91, 4 In 3.20
Y 0.7495 0.7495 0.7502  4 Rh 3.02, 2 In 3.36-3.37
Rh 0.2475 0.2475 0.2523  2 In 2.83, 6 Y 2.91-3.02
In 0.5479 0.5479 0.4525  2 Rh 2.83

Values from the calculation:
The value obtained for the total magnetization is 0.000 μB per cell.

---

(3)
The following is a DFT calculation (GGA-PBE) of crystalline Y6In3Rh at its relaxed geometry.

abc: 5.2246 9.0754 11.5810
angles: 90.00 90.01 90.00
Closest atoms and distances in Å follow each position.
Fractional coordinates of all 20 atoms:
Rh 0.5000 0.5000 0.5000  4 Y 2.73-3.04
Y 0.0000 0.3406 0.4177  2 Rh 3.13, 1 In 3.23, 3 Y 3.43-3.47
Y 0.4998 0.4893 0.2645  1 Rh 2.73, 3 In 3.03-3.04
In 0.5000 0.5000 0.0000  8 Y 3.06-3.26
Y 0.0000 0.6845 0.9123  1 Rh 3.04, 2 In 3.26
Y 0.0000 0.6594 0.5823  2 Rh 3.13, 1 In 3.23, 3 Y 3.43-3.47
In 0.4997 0.8443 0.7309  3 Y 3.03-3.04
In 0.5003 0.1557 0.2691  3 Y 3.03-3.04
In 0.0000 0.0000 0.5000  8 Y 3.06-3.26
Y 0.5000 0.1845 0.5877  1 Rh 3.04, 2 In 3.26
Y 0.5002 0.5107 0.7355  1 Rh 2.73, 3 In 3.03-3.04
Y 0.0002 0.9893 0.2355  1 Rh 2.73, 3 In 3.03-3.04
Y 0.5000 0.8155 0.4123  1 Rh 3.04, 2 In 3.26
Rh 0.0000 0.0000 0.0000  4 Y 2.73-3.04
Y 0.5000 0.8406 0.0823  2 Rh 3.13, 1 In 3.23, 3 Y 3.43-3.47
Y 0.9998 0.0107 0.7645  1 Rh 2.73, 3 In 3.03-3.04
In 0.0003 0.3443 0.7691  3 Y 3.03-3.04
Y 0.5000 0.1594 0.9177  2 Rh 3.13, 1 In 3.23, 3 Y 3.43-3.47
Y 0.0000 0.3155 0.0877  1 Rh 3.04, 2 In 3.26
In 0.9997 0.6557 0.2309  3 Y 3.03-3.04

Values from the calculation:
The value obtained for the total magnetization is 0.000 μB per cell. As for the polymorph energy (0 for the lowest one): 17 meV/atom.

---

(4)
The following is a DFT calculation (GGA-PBE) of crystalline Y2InRh at its relaxed geometry.

abc: 8.0218 5.0335 3.7001
angles: 90.02 62.51 128.84
Closest atoms and distances in Å follow each position.
Fractional coordinates of all 4 atoms:
In 0.0000 0.5000 0.5000  8 Y 3.12
Y 0.5000 0.0000 0.5000  4 In 3.12, 4 Rh 3.12
Rh 0.5000 0.5000 0.0000  8 Y 3.12
Y 0.0000 0.0000 0.0000  4 Rh 3.12, 4 In 3.12

Values from the calculation:
The value obtained for the total magnetization is 0.000 μB per cell.

---

(5)
The following is a DFT calculation (GGA-PBE) of crystalline Y3InRh at its relaxed geometry.

abc: 5.3293 5.3293 5.3293
angles: 90.00 90.00 90.00
Closest atoms and distances in Å follow each position.
Fractional coordinates of all 5 atoms:
Y 0.0000 0.0000 0.5000  2 Rh 2.66
Y 0.0000 0.5000 0.0000  2 Rh 2.66
In 0.5000 0.5000 0.5000  12 Y 3.77
Rh 0.0000 0.0000 0.0000  6 Y 2.66
Y 0.5000 0.0000 0.0000  2 Rh 2.66

Values from the calculation:
The value obtained for the total magnetization is 0.000 μB per cell. As for the polymorph energy (0 for the lowest one): 158 meV/atom.

---

(6)
The following is a DFT calculation (GGA-PBE) of crystalline Y5In2Rh2 at its relaxed geometry.

abc: 7.4795 7.6503 9.0588
angles: 114.98 90.00 90.00
Closest atoms and distances in Å follow each position.
Fractional coordinates of all 18 atoms:
In 0.5000 0.7214 0.4428  6 Y 3.20-3.29
Y 0.3323 0.7069 0.7625  3 Rh 2.87-3.06, 1 In 3.20
Rh 0.1318 0.6318 0.0000  1 Rh 2.82, 8 Y 2.87-3.06
Rh 0.6318 0.8682 0.0000  1 Rh 2.82, 8 Y 2.87-3.06
Y 0.1677 0.4443 0.2374  3 Rh 2.87-3.06, 1 In 3.20
Y 0.6677 0.0557 0.7625  3 Rh 2.87-3.06, 1 In 3.20
Y 0.8323 0.5557 0.7625  3 Rh 2.87-3.06, 1 In 3.20
Y 0.6677 0.2931 0.2374  3 Rh 2.87-3.06, 1 In 3.20
Y 0.3323 0.9443 0.2374  3 Rh 2.87-3.06, 1 In 3.20
In 0.5000 0.2786 0.5572  6 Y 3.20-3.29
In 0.0000 0.7786 0.5572  6 Y 3.20-3.29
Rh 0.3682 0.1318 0.0000  1 Rh 2.82, 8 Y 2.87-3.06
Y 0.5000 0.5000 0.0000  4 Rh 2.93-2.98
Rh 0.8682 0.3682 0.0000  1 Rh 2.82, 8 Y 2.87-3.06
Y 0.0000 0.0000 0.0000  4 Rh 2.93-2.98
In 0.0000 0.2214 0.4428  6 Y 3.20-3.29
Y 0.1677 0.2069 0.7625  3 Rh 2.87-3.06, 1 In 3.20
Y 0.8323 0.7931 0.2374  3 Rh 2.87-3.06, 1 In 3.20

Values from the calculation:
The value obtained for the total magnetization is 0.000 μB per cell.

---

| no. | energy of formation (eV per atom) |
| --- | --- |
| 1 | -0.511 |
| 2 | -0.535 |
| 3 | -0.440 |
| 4 | -0.581 |
| 5 | -0.358 |
| 6 | -0.573 |